# NdDyTm2 (GGA-PBE, relaxed)
# - ρ: 8.4 g cm⁻³
# - Formation enthalpy at 0 K: 0.0116 eV per atom
data_NdDyTm2
_space_group_name_H-M_alt 'R 3 m'
_space_group_IT_number 160
_space_group_name_Hall 'R 3 -2"'
_cell_length_a 3.5781
_cell_length_b 3.5781
_cell_length_c 34.2954
_cell_angle_alpha 90.00
_cell_angle_beta 90.00
_cell_angle_gamma 120.00
loop_
_atom_site_label
_atom_site_type_symbol
_atom_site_fract_x
_atom_site_fract_y
_atom_site_fract_z
Nd1 Nd 0.0000 0.0000 0.0000
Dy1 Dy 0.0000 0.0000 0.8342
Tm1 Tm 0.0000 0.0000 0.4184
Tm2 Tm 0.0000 0.0000 0.5824